Compound: RbIn2As2
Source: Alexandria
Functional: GGA-PBE
Structure: relaxed

a b c (Å): 8.950 8.950 3.978
angles (deg): 90.00 90.00 90.00
Space group P4/mbm (No. 127)
Inequivalent atoms, fractional coordinates:
1 Rb 0.000 0.000 0.000 x2
2 In 0.144 0.356 0.500 x4
3 As 0.100 0.600 0.000 x4

Computed properties:
- total magnetic moment (μB/atom) = 0.00
- energy of formation from the pure elements (eV/atom) = -0.09
- V (Å³ per cell) = 318.7